# 1
A relaxed structure of NdGdZnCo2, computed with PBE.

Unit cell a=4.138 b=5.506 c=8.318 alpha=90.00 beta=90.00 gamma=90.00
Space group Imm2 (No. 44)
One atom of each set of equivalent atoms:
Nd  0.000  0.000  0.000 x2
Gd  0.000  0.000  0.582 x2
Zn  0.000  0.500  0.792 x2
Co  0.000  0.291  0.288 x4

Output
The energy of formation from the pure elements comes out at -0.2133 eV/atom. The value obtained for the energy is -5.1923 eV per atom. For the size of the total moment, the calculation gives 0.03 μB per cell.

***

# 2
A relaxed structure of MoICl4, computed with PBE.

Unit cell a=6.336 b=6.880 c=9.478 alpha=107.45 beta=92.19 gamma=116.26
Space group P-1 (No. 2)
One atom of each set of equivalent atoms:
Mo  0.105  0.208  0.207 x2
I  0.074  0.803  0.549 x2
Cl  0.118  0.637  0.864 x2
Cl  0.236  0.180  0.955 x2
Cl  0.298  0.004  0.238 x2
Cl  0.436  0.559  0.322 x2

Output
Its excess energy over the best structure of this formula in the dataset is 0 meV per atom. The value obtained for the energy is -3.9481 eV per atom. For the size of the total moment, the calculation gives 1.98 μB per cell.

***

# 3
A relaxed structure of KHg2Au2, computed with PBE.

Unit cell a=4.867 b=4.867 c=11.876 alpha=90.00 beta=90.00 gamma=90.00
Space group I4/mmm (No. 139)
One atom of each set of equivalent atoms:
K  0.000  0.000  0.000 x2
Hg  0.000  0.500  0.250 x4
Au  0.000  0.000  0.386 x4

Output
The value obtained for the energy is -1.8477 eV per atom.

***

# 4
A relaxed structure of Rb5BaTaP4, computed with PBE.

Unit cell a=10.476 b=18.353 c=8.156 alpha=90.00 beta=92.59 gamma=90.00
Space group Cc (No. 9)
One atom of each set of equivalent atoms:
Rb  0.000  0.031  0.000 x4
Rb  0.201  0.233  0.002 x4
Rb  0.210  0.431  0.162 x4
Rb  0.273  0.070  0.714 x4
Rb  0.492  0.138  0.181 x4
Ba  0.298  0.266  0.495 x4
Ta  0.495  0.331  0.897 x4
P  0.191  0.108  0.325 x4
P  0.308  0.392  0.779 x4
P  0.485  0.327  0.193 x4
P  0.499  0.207  0.794 x4

Output
The value obtained for the energy is -4.2173 eV per atom. For the size of the total moment, the calculation gives 0.00 μB per cell.

***

# 5
A relaxed structure of SrThGa, computed with PBE.

Unit cell a=7.442 b=7.442 c=7.442 alpha=90.00 beta=90.00 gamma=90.00
Space group F-43m (No. 216)
One atom of each set of equivalent atoms:
Sr  0.000  0.000  0.000 x4
Th  0.250  0.250  0.750 x4
Ga  0.000  0.000  0.500 x4

Output
Its excess energy over the best structure of this formula in the dataset is 0 meV per atom. The value obtained for the energy is -3.3713 eV per atom. For the size of the total moment, the calculation gives 0.10 μB per cell.

***

# 6
A relaxed structure of AcReMo, computed with PBE.

Unit cell a=6.629 b=6.629 c=6.629 alpha=90.00 beta=90.00 gamma=90.00
Space group F-43m (No. 216)
One atom of each set of equivalent atoms:
Ac  0.000  0.000  0.000 x4
Re  0.250  0.250  0.250 x4
Mo  0.000  0.000  0.500 x4

Output
The energy of formation from the pure elements comes out at 0.9779 eV/atom. Its excess energy over the best structure of this formula in the dataset is 0 meV per atom. The value obtained for the energy is -8.1477 eV per atom. For the size of the total moment, the calculation gives 0.02 μB per cell.

***

# 7
A relaxed structure of Pa2Fe, computed with PBE.

Unit cell a=10.859 b=10.859 c=10.859 alpha=90.00 beta=90.00 gamma=90.00
Space group Fd-3m (No. 227, origin choice 2)
One atom of each set of equivalent atoms:
Pa  0.000  0.000  0.000 x16
Fe  0.125  0.125  0.125 x8

Output
The energy of formation from the pure elements comes out at 1.5990 eV/atom. The value obtained for the energy is -7.5011 eV per atom. For the size of the total moment, the calculation gives 24.18 μB per cell.

***

# 8
A relaxed structure of LiAlSnAu, computed with PBE.

Unit cell a=6.647 b=6.647 c=6.647 alpha=90.00 beta=90.00 gamma=90.00
Space group F-43m (No. 216)
One atom of each set of equivalent atoms:
Li  0.000  0.000  0.000 x4
Al  0.000  0.000  0.500 x4
Sn  0.250  0.250  0.750 x4
Au  0.250  0.250  0.250 x4

Output
Its excess energy over the best structure of this formula in the dataset is 0 meV per atom. The value obtained for the energy is -3.4747 eV per atom.